[1]
The following is a GGA-PBE calculation of CdHgW4 after structural relaxation, from Alexandria. Values from VASP.

The structure in Quantum ESPRESSO input format:
```
&SYSTEM
  ibrav = 0, nat = 6, ntyp = 3
/
ATOMIC_SPECIES
Cd 112.41 Cd.upf
Hg 200.59 Hg.upf
W 183.84 W.upf
CELL_PARAMETERS angstrom
0.000 3.820 3.820
3.820 0.000 3.820
3.820 3.820 0.000
ATOMIC_POSITIONS crystal
Cd 0.000 0.000 0.000
Hg 0.750 0.750 0.750
W 0.375 0.375 0.375
W 0.375 0.375 0.876
W 0.375 0.876 0.375
W 0.876 0.375 0.375
```

[2]
The following is a GGA-PBE calculation of MnCu2Pd8 after structural relaxation, from Alexandria. Values from VASP.

Values from the calculation:
E above lowest polymorph = 182.1 meV/atom

The structure in Quantum ESPRESSO input format:
```
&SYSTEM
  ibrav = 0, nat = 11, ntyp = 3
/
ATOMIC_SPECIES
Mn 54.94 Mn.upf
Cu 63.55 Cu.upf
Pd 106.42 Pd.upf
CELL_PARAMETERS angstrom
3.532 -5.839 0.000
3.532 5.839 0.000
-1.904 0.000 4.156
ATOMIC_POSITIONS crystal
Mn 0.000 0.000 0.000
Cu 0.308 0.692 0.500
Cu 0.692 0.308 0.500
Pd 0.093 0.325 0.620
Pd 0.218 0.782 0.000
Pd 0.325 0.093 0.620
Pd 0.391 0.391 0.187
Pd 0.609 0.609 0.813
Pd 0.675 0.907 0.380
Pd 0.782 0.218 0.000
Pd 0.907 0.675 0.380
```

[3]
The following is a GGA-PBE calculation of Pm3PrEr4 after structural relaxation, from Alexandria. Values from VASP.

Values from the calculation:
E above lowest polymorph = 6.4 meV/atom

The structure in Quantum ESPRESSO input format:
```
&SYSTEM
  ibrav = 0, nat = 16, ntyp = 3
/
ATOMIC_SPECIES
Pm 145.00 Pm.upf
Pr 140.91 Pr.upf
Er 167.26 Er.upf
CELL_PARAMETERS angstrom
11.489 0.000 0.000
0.000 7.304 0.000
0.000 0.000 6.288
ATOMIC_POSITIONS crystal
Pm 0.000 0.129 0.000
Pm 0.250 0.129 0.335
Pm 0.250 0.871 0.835
Pm 0.500 0.871 0.500
Pm 0.750 0.129 0.335
Pm 0.750 0.871 0.835
Pr 0.000 0.873 0.499
Pr 0.500 0.127 0.999
Er 0.000 0.379 0.502
Er 0.000 0.620 0.001
Er 0.250 0.379 0.834
Er 0.250 0.621 0.334
Er 0.500 0.380 0.501
Er 0.500 0.621 0.002
Er 0.750 0.379 0.834
Er 0.750 0.621 0.334
```

Number 1: DFT formation energy 0.82 eV/atom. Number 2: DFT formation energy 0.06 eV/atom. Number 3: DFT formation energy 0.03 eV/atom.